# 1
La4Tb3PmTe8 GGA-PBE optimized geometry; formation energy (no corrections) = -1.47 eV per atom; size of the total moment = 0.0 μB per formula unit; total DFT energy (no corrections) = -86.94 eV per cell
1.0
8.9734 0.0000 0.0000
0.0000 8.9823 0.0012
-4.4867 -4.4817 6.3479
La Tb Pm Te
4 3 1 8
Cartesian
4.4867 0.0000 0.0000
2.2434 -2.2408 3.1739
0.0000 0.0000 0.0000
-2.2434 -2.2408 3.1739
4.4867 4.4912 0.0006
2.2434 2.2503 3.1746
-2.2434 2.2503 3.1746
0.0000 4.4912 0.0006
-2.2180 2.1870 6.2829
0.0000 4.4026 3.1447
0.0000 0.0973 3.2398
2.2180 2.1870 6.2829
2.2687 2.3137 0.0662
4.4867 4.4033 3.1093
4.4867 0.0981 3.2044
6.7047 2.3137 0.0662

***

# 2
La4Tb2PmTh GGA-PBE optimized geometry; energy of formation from the pure elements = 0.031 eV per atom; size of the total moment = 0.0 μB per formula unit; total DFT energy (no corrections) = -40.89 eV per cell
1.0
-3.4530 -0.1093 -1.2043
1.3431 -5.1737 -3.3814
-2.5808 -8.5643 8.1767
La Tb Pm Th
4 2 1 1
Cartesian
-0.9210 -10.2762 3.5728
-3.7698 -3.5711 0.0181
-1.3803 -6.0791 -1.0483
-3.3105 -7.7683 4.6393
-2.5808 -8.5643 8.1767
-3.0169 -4.3368 3.4862
-1.0549 -2.6415 -2.2929
-0.6189 -6.8690 2.3977

***

# 3
La3Tb2Pm6Th GGA-PBE optimized geometry; energy of formation from the pure elements = 0.027 eV per atom; size of the total moment = 0.0 μB per formula unit; total DFT energy (no corrections) = -59.64 eV per cell
1.0
-5.5862 1.3410 2.6188
0.2891 -1.8988 -6.0144
0.6929 -11.1974 4.6736
La Tb Pm Th
3 2 6 1
Cartesian
-0.3440 -6.9573 -2.2381
-4.2601 -4.7979 3.5161
-2.3021 -5.8776 0.6390
-1.6702 -0.8184 -3.1353
-3.6268 0.2605 -0.2603
-4.4375 -8.3529 2.3972
-3.8118 -3.1564 -1.4096
-0.1666 -3.4023 -1.1192
-2.5005 -9.4210 -0.4489
-0.7923 -8.5988 2.6876
-2.1036 -2.3342 1.7270
0.0000 0.0000 0.0000

***

# 4
La2Tb6PmTh3 GGA-PBE optimized geometry; energy of formation from the pure elements = 0.018 eV per atom; size of the total moment = 0.0 μB per formula unit; total DFT energy (no corrections) = -64.44 eV per cell
1.0
6.2570 -0.0010 0.0014
-3.1279 5.4191 0.0014
-1.0469 -1.8127 11.6389
La Tb Pm Th
2 6 1 3
Cartesian
0.0018 3.6116 0.0014
3.1274 1.8065 0.0014
3.1239 1.8061 8.6362
2.0871 3.6138 3.0065
-1.0417 1.7993 3.0054
0.0032 3.6084 8.6362
-0.0048 -0.0084 8.6352
2.0790 -0.0031 3.0054
0.0000 0.0000 0.0000
-2.0863 3.6089 5.8208
4.1685 -0.0035 5.8208
1.0411 1.8027 5.8208

***

# 5
LaTbPm3Th GGA-PBE optimized geometry; energy of formation from the pure elements = 0.034 eV per atom; size of the total moment = 0.0 μB per formula unit; total DFT energy (no corrections) = -62.05 eV per cell
1.0
-1.5045 4.9138 -0.0560
-2.9913 -0.8300 7.5423
10.4116 3.1790 -0.7695
La Tb Pm Th
2 2 6 2
Cartesian
2.3037 2.0567 0.6701
3.6121 5.2061 6.0468
5.7874 3.1212 0.4788
0.1284 4.1417 6.2380
-3.2581 3.1071 6.4363
9.1739 4.1558 0.2806
2.4781 2.1522 4.3667
3.4378 5.1106 2.3502
-0.1513 4.0158 2.7022
6.0671 3.2471 4.0146
-0.9672 1.0998 4.5777
6.8830 6.1631 2.1391

***

# 6
LaTb5PmTh2 GGA-PBE optimized geometry; energy of formation from the pure elements = 0.311 eV per atom; size of the total moment = 0.0 μB per formula unit; total DFT energy (no corrections) = -89.74 eV per cell
1.0
8.9255 0.0000 0.0000
0.0000 8.9255 0.0000
-4.4628 -4.4628 7.7022
La Tb Pm Th
2 10 2 4
Cartesian
0.0000 0.0000 3.8511
4.4628 4.4628 3.8511
7.0900 2.6272 2.0872
2.6272 -1.8355 5.6151
-2.6272 1.8355 5.6151
-1.8355 -2.6272 5.6151
1.8355 2.6272 5.6151
6.2983 7.0900 2.0872
2.6272 1.8355 2.0872
1.8355 6.2983 2.0872
4.4628 4.4628 0.0000
0.0000 0.0000 0.0000
0.0000 4.4628 3.8511
4.4628 0.0000 3.8511
1.0620 3.4007 0.0000
5.5248 1.0620 0.0000
3.4007 7.8635 0.0000
7.8635 5.5248 0.0000

***

# 7
LaTb5Pm2Th GGA-PBE optimized geometry; energy of formation from the pure elements = 0.163 eV per atom; size of the total moment = 0.0 μB per formula unit; total DFT energy (no corrections) = -87.07 eV per cell
1.0
5.6801 0.0000 0.0000
-2.8401 10.0369 0.0000
0.0000 0.0000 10.6008
La Tb Pm Th
2 10 4 2
Cartesian
2.8401 1.7066 10.0573
0.0000 8.3302 4.7569
0.0000 7.7532 0.2538
2.8401 4.4779 8.6660
0.0000 9.6265 7.8075
0.0000 5.9408 7.5080
2.8401 9.7078 5.5724
2.8401 2.2837 5.5542
0.0000 5.5590 3.3656
2.8401 0.4104 2.5071
2.8401 4.0961 2.2076
0.0000 0.3291 0.2720
2.8401 7.7543 8.6864
0.0000 2.3085 7.7412
0.0000 2.2826 3.3860
2.8401 7.7284 2.4408
2.8401 5.9827 5.4459
0.0000 4.0542 0.1455

***

# 8
LaTb3Pm6Th2 GGA-PBE optimized geometry; energy of formation from the pure elements = 0.037 eV per atom; size of the total moment = 0.0 μB per formula unit; total DFT energy (no corrections) = -61.71 eV per cell
1.0
6.2786 0.0027 0.0136
-3.1355 5.4397 0.0136
-1.0760 -1.8632 11.8216
La Tb Pm Th
1 3 6 2
Cartesian
0.0000 0.0000 0.0000
-2.1033 3.6012 5.9244
4.1704 -0.0220 5.9244
1.0336 1.7896 5.9244
3.1358 1.7430 8.9022
2.0721 3.5879 2.9640
-1.0687 1.8362 2.9466
-0.0574 3.5872 8.9022
-0.0050 -0.0087 8.8848
2.1245 -0.0080 2.9466
0.0033 3.6269 0.0136
3.1398 1.8155 0.0136

***

# 9
LaTbPm2Th GGA-PBE optimized geometry; energy of formation from the pure elements = 0.297 eV per atom; size of the total moment = 0.0 μB per formula unit; total DFT energy (no corrections) = -49.99 eV per cell
1.0
6.4864 0.0000 0.0000
0.0000 8.6383 0.8368
0.0000 -1.6221 6.2405
La Tb Pm Th
2 2 4 2
Cartesian
0.0000 0.0000 0.0000
0.0000 -0.8110 3.1203
1.1021 3.1026 5.0988
5.3843 3.9136 1.9786
4.4418 4.6157 5.5751
4.4418 1.5896 4.6225
2.0446 5.4267 2.4548
2.0446 2.4006 1.5023
3.5467 -0.4055 1.5601
2.9397 -1.2165 4.6804

***

# 10
La2TbPmTh GGA-PBE optimized geometry; energy of formation from the pure elements = 0.216 eV per atom; size of the total moment = 0.0 μB per formula unit; total DFT energy (no corrections) = -51.15 eV per cell
1.0
-0.5545 -3.1536 -7.9025
-2.1753 -5.5501 2.3675
-6.5631 0.9704 0.0733
La Tb Pm Th
4 2 2 2
Cartesian
-7.4077 -5.3005 -3.5687
-5.3602 -3.0471 -4.6117
-3.9328 -4.6862 -0.8500
-1.8853 -2.4327 -1.8929
-2.0079 -1.8452 -5.2134
-5.1098 -0.3380 -2.6158
-6.0659 -2.3651 0.4421
-3.2271 -5.3681 -5.9038
0.0000 0.0000 0.0000
-3.2816 0.4852 0.0366

***

# 11
La4TbPm2Th GGA-PBE optimized geometry; energy of formation from the pure elements = 0.032 eV per atom; size of the total moment = 0.0 μB per formula unit; total DFT energy (no corrections) = -41.01 eV per cell
1.0
-1.8422 -2.0815 2.3900
5.3948 -1.1186 3.1840
-0.2743 9.2491 7.8440
La Tb Pm Th
4 1 2 1
Cartesian
3.8183 6.0974 8.2536
-0.5400 -0.0485 5.1644
3.0185 0.4760 5.5526
0.2599 5.5730 7.8654
1.7763 -1.6001 2.7870
-0.2743 9.2491 7.8440
-1.0582 3.5838 5.1170
2.5602 4.0653 5.5140

***

# 12
LaTbPmTh GGA-PBE optimized geometry; energy of formation from the pure elements = 0.026 eV per atom; ΔE to the lowest computed polymorph = 0 meV/atom; size of the total moment = 0.0 μB per formula unit; total DFT energy (no corrections) = -21.63 eV per cell
1.0
3.6159 0.0000 0.0000
0.0000 3.6159 0.0000
0.0000 0.0000 10.3833
La Tb Pm Th
1 1 1 1
Cartesian
0.0000 0.0000 0.7739
1.8079 1.8079 3.4855
1.8079 1.8079 8.3698
0.0000 0.0000 5.9020

***

# 13
LaTbPmTh GGA-PBE optimized geometry; energy of formation from the pure elements = 0.211 eV per atom; ΔE to the lowest computed polymorph = 186 meV/atom; size of the total moment = 0.0 μB per formula unit; total DFT energy (no corrections) = -20.88 eV per cell
1.0
5.7726 0.0000 0.0000
2.8863 4.9992 0.0000
2.8863 1.6664 4.7133
La Tb Th Pm
1 1 1 1
Cartesian
2.8863 1.6664 1.1783
5.7726 3.3328 2.3566
0.0000 0.0000 0.0000
8.6589 4.9992 3.5350

***

# 14
LaTb2PmTl2 GGA-PBE optimized geometry; energy of formation from the pure elements = -0.275 eV per atom; size of the total moment = 0.0 μB per formula unit; total DFT energy (no corrections) = -50.64 eV per cell
1.0
-4.9286 0.4712 -1.5869
-2.1851 -2.1578 6.1461
-0.1522 9.7244 3.3600
La Tb Pm Tl
2 4 2 4
Cartesian
-2.1467 2.3789 7.3738
-1.0677 4.3215 4.5992
-2.5901 0.5309 -0.3150
-0.7577 1.0490 2.6647
-3.8220 8.3500 5.8326
-1.9470 6.1548 7.8748
-2.9799 6.5552 2.6844
-4.0142 1.7509 4.4702
-0.7874 7.8475 4.7757
-2.9968 3.2225 1.7472
-1.7663 -0.4947 5.3391
-4.1332 4.9495 5.7898

***

# 15
LaTbPm2Tl2 GGA-PBE optimized geometry; energy of formation from the pure elements = -0.274 eV per atom; size of the total moment = 0.0 μB per formula unit; total DFT energy (no corrections) = -50.87 eV per cell
1.0
-1.6626 4.7552 1.4975
-3.7910 0.4910 -5.7683
-7.9731 -4.3219 4.8721
La Tb Pm Tl
2 2 4 4
Cartesian
-7.2616 -1.5002 -3.2984
-6.0706 -2.1276 0.0162
-7.0339 -0.5213 3.0678
-5.8769 1.3789 -1.6816
-1.4034 2.2067 0.6564
-2.7016 -0.6205 -1.0291
-10.5422 -1.4742 2.1984
-9.6803 -3.1304 -0.8071
-8.0030 -3.5803 2.4840
-4.5967 0.9044 1.2462
-4.1223 -0.2038 -3.9298
-8.6257 -0.0065 -0.3342

***

# 16
LaTbPm2Tl4 GGA-PBE optimized geometry; energy of formation from the pure elements = -0.379 eV per atom; size of the total moment = 0.0 μB per formula unit; total DFT energy (no corrections) = -31.56 eV per cell
1.0
-3.7485 -3.8144 1.2787
-0.5753 -4.4592 -3.1656
4.6738 -7.0928 4.3661
La Tb Pm Tl
1 1 2 4
Cartesian
0.0000 0.0000 0.0000
0.1750 -7.6832 1.2396
0.2499 -11.5158 1.8490
0.1002 -3.8506 0.6302
2.4294 -9.2813 3.0811
-1.9960 -9.9237 0.0145
2.3461 -5.4427 2.4647
-2.0793 -6.0851 -0.6019

***

# 17
La2TbPm7Tl2 GGA-PBE optimized geometry; energy of formation from the pure elements = -0.037 eV per atom; size of the total moment = 0.0 μB per formula unit; total DFT energy (no corrections) = -52.92 eV per cell
1.0
6.0073 1.0526 0.8839
1.0599 6.0060 0.8839
5.6523 5.6454 13.0097
La Tb Pm Tl
2 1 7 2
Cartesian
9.6873 9.6755 9.9167
3.0322 3.0285 4.8607
0.0000 0.0000 0.0000
3.5336 3.5293 0.8839
5.0770 5.0708 7.0632
7.6426 7.6333 7.7142
6.3030 3.8222 3.1934
3.8299 6.2983 3.1934
8.8897 6.4057 11.5840
6.4166 8.8819 11.5840
6.6861 6.6780 4.8223
6.0335 6.0261 9.9551

***

# 18
La2Tb6Pm3Tm GGA-PBE optimized geometry; energy of formation from the pure elements = 0.016 eV per atom; size of the total moment = 0.0 μB per formula unit; total DFT energy (no corrections) = -56.17 eV per cell
1.0
-5.0551 3.0785 2.0277
-0.5626 -5.8264 -2.2090
3.6103 -3.3498 10.8691
La Tb Pm Tm
2 6 3 1
Cartesian
-2.0612 -2.8561 -0.7958
-3.5566 0.1082 0.6145
-2.2559 -3.0939 8.7097
-3.3173 -2.9080 2.5946
0.2484 -3.0038 1.9781
-0.7651 -6.0489 7.3038
1.3098 -3.1897 8.0932
-1.2424 -0.0488 3.3840
0.4938 -6.0172 3.9316
-2.5013 -0.0805 6.7561
-1.0037 -3.0488 5.3439
0.0000 0.0000 0.0000

***

# 19
La6TbPmTm2 GGA-PBE optimized geometry; energy of formation from the pure elements = 0.192 eV per atom; size of the total moment = 0.0 μB per formula unit; total DFT energy (no corrections) = -45.97 eV per cell
1.0
-1.5103 8.6807 -1.4231
-3.1479 -1.5763 -6.2743
-3.0899 -0.8871 5.8979
La Tb Pm Tm
6 1 1 2
Cartesian
-3.5593 2.5666 -2.9839
-2.4004 1.0520 3.2424
-3.5905 6.0452 -1.5397
-4.1575 0.1721 -0.2598
-5.3476 5.1654 -5.0419
-4.1888 3.6507 1.1844
-1.5739 -0.7881 -3.1371
-0.7551 4.3403 -0.7115
-1.0858 1.0921 0.2704
-6.6622 5.1252 -2.0699

***

# 20
La4Tb2Pm2Tm GGA-PBE optimized geometry; energy of formation from the pure elements = 0.024 eV per atom; size of the total moment = 0.0 μB per formula unit; total DFT energy (no corrections) = -42.72 eV per cell
1.0
5.1773 0.0000 0.0000
-2.5887 7.7699 0.0103
0.0000 -2.6341 7.7177
La Tb Pm Tm
4 2 2 1
Cartesian
2.5887 2.5506 5.1583
0.0000 2.5852 2.5696
2.5887 -0.0367 2.5589
0.0000 5.1725 5.1690
2.5887 5.1710 2.5481
0.0000 -0.0352 5.1798
0.0000 2.5526 7.7230
2.5887 2.5831 0.0050
0.0000 0.0000 0.0000

***

# 21
LaTb2Pm2Tm GGA-PBE optimized geometry; energy of formation from the pure elements = 0.064 eV per atom; size of the total moment = 0.0 μB per formula unit; total DFT energy (no corrections) = -55.56 eV per cell
1.0
-5.1916 0.1599 2.3890
0.2473 -6.9744 1.0044
4.1316 1.4257 8.8829
La Tb Pm Tm
2 4 4 2
Cartesian
2.0665 0.6581 4.4467
2.1926 -2.8283 4.9541
3.5150 -0.6015 7.6787
-1.1681 -1.2499 4.3861
0.8674 -5.0450 2.2227
0.3595 -4.2527 7.9066
-2.5931 0.0290 1.2037
0.7550 -1.5561 1.7448
1.6604 -2.0331 10.5852
3.6276 -4.0947 8.1572
0.2197 -0.7695 7.3698
-1.0285 -4.7301 4.9225